(1)
Below is Pr6Sb2TeAs3 after structural relaxation, with properties calculated at the PBE level.

a b c (Å): 4.4109 8.9014 9.9206
angles (deg): 103.49 102.84 90.00
Fractional coordinates of all 12 atoms:
Pr 0.3280 0.9249 0.6561
Pr 0.6637 0.5915 0.3273
Pr 0.6720 0.0751 0.3439
Pr 0.9962 0.2649 0.9924
Pr 0.0038 0.7351 0.0076
Pr 0.3363 0.4085 0.6727
Sb 0.8340 0.6682 0.6680
Sb 0.1660 0.3318 0.3320
Te 0.5000 0.0000 0.0000
As 0.5000 0.5000 0.0000
As 0.8340 0.1666 0.6680
As 0.1660 0.8334 0.3320

Summary:
Energy (eV/f.u.): -71.00
SG: C2/m
V (Å³/cell): 368.73
Crystal system: monoclinic
Density of states at the Fermi level (states/eV per cell): 2.245
Energy relative to the elements, uncorrected (eV per atom): -1.42


(2)
Below is Cd3Hg5Pb12 after structural relaxation, with properties calculated at the PBE level.

a b c (Å): 15.4726 15.4726 15.4726
angles (deg): 109.47 109.47 109.47
Fractional coordinates of all 80 atoms:
Cd 0.7500 0.3750 0.1250
Cd 0.8750 0.7500 0.1250
Cd 0.3750 0.7500 0.6250
Cd 0.2500 0.1250 0.3750
Cd 0.8750 0.1250 0.2500
Cd 0.3750 0.6250 0.2500
Cd 0.6250 0.3750 0.7500
Cd 0.1250 0.8750 0.7500
Cd 0.7500 0.8750 0.6250
Cd 0.6250 0.2500 0.3750
Cd 0.1250 0.2500 0.8750
Cd 0.2500 0.6250 0.8750
Hg 0.1250 0.3750 0.2500
Hg 0.0000 0.5000 0.0000
Hg 0.0000 0.0000 0.0000
Hg 0.3750 0.2500 0.1250
Hg 0.5000 0.0000 0.5000
Hg 0.5000 0.5000 0.0000
Hg 0.1250 0.7500 0.3750
Hg 0.7500 0.1250 0.8750
Hg 0.7500 0.6250 0.3750
Hg 0.3750 0.1250 0.7500
Hg 0.6250 0.8750 0.2500
Hg 0.5000 0.5000 0.5000
Hg 0.5000 0.0000 0.0000
Hg 0.0000 0.0000 0.5000
Hg 0.2500 0.3750 0.6250
Hg 0.2500 0.8750 0.1250
Hg 0.0000 0.5000 0.5000
Hg 0.8750 0.2500 0.6250
Hg 0.6250 0.7500 0.8750
Hg 0.8750 0.6250 0.7500
Pb 0.7297 0.1344 0.0663
Pb 0.3366 0.5663 0.4318
Pb 0.9337 0.3656 0.2703
Pb 0.5663 0.2297 0.1344
Pb 0.5953 0.7297 0.6634
Pb 0.9337 0.5682 0.1634
Pb 0.3366 0.7703 0.4047
Pb 0.0682 0.9047 0.1344
Pb 0.5682 0.9337 0.6634
Pb 0.7297 0.5953 0.1634
Pb 0.7703 0.4337 0.3656
Pb 0.8366 0.9318 0.0663
Pb 0.1344 0.7297 0.5663
Pb 0.3656 0.4318 0.0953
Pb 0.0953 0.9318 0.3656
Pb 0.4047 0.1344 0.5682
Pb 0.0953 0.1634 0.2297
Pb 0.4337 0.6634 0.0682
Pb 0.8366 0.9047 0.2703
Pb 0.1344 0.4047 0.0682
Pb 0.3656 0.9337 0.7703
Pb 0.5682 0.6344 0.4047
Pb 0.9318 0.8366 0.5663
Pb 0.7703 0.3366 0.9047
Pb 0.4318 0.3656 0.5953
Pb 0.0682 0.1634 0.4337
Pb 0.2297 0.6634 0.0953
Pb 0.1634 0.0953 0.7297
Pb 0.6344 0.0663 0.2297
Pb 0.8656 0.5953 0.9318
Pb 0.5663 0.3366 0.9318
Pb 0.5953 0.8656 0.4318
Pb 0.9047 0.8366 0.7703
Pb 0.9047 0.0682 0.6344
Pb 0.8656 0.2703 0.4337
Pb 0.1634 0.0682 0.9337
Pb 0.6344 0.5682 0.9047
Pb 0.4318 0.0663 0.3366
Pb 0.2703 0.4047 0.8366
Pb 0.2297 0.5663 0.6344
Pb 0.9318 0.0953 0.8656
Pb 0.6634 0.2297 0.5953
Pb 0.4337 0.7703 0.8656
Pb 0.0663 0.4318 0.8366
Pb 0.4047 0.2703 0.3366
Pb 0.0663 0.6344 0.7297
Pb 0.6634 0.4337 0.5682
Pb 0.2703 0.8656 0.9337

Summary:
Energy (eV/f.u.): -45.78
SG: Ia-3d
V (Å³/cell): 2851.44
Crystal system: cubic
E_form (eV per formula unit): 2.97
Density of states at the Fermi level (states/eV per cell): 30.496


(3)
Below is Tm7ThSc2 after structural relaxation, with properties calculated at the PBE level.

a b c (Å): 5.4363 8.7912 8.7912
angles (deg): 121.29 90.00 90.00
Fractional coordinates of all 10 atoms:
Tm 0.0000 0.7758 0.2242
Tm 0.0000 0.2242 0.7758
Tm 0.5000 0.0601 0.2956
Tm 0.5000 0.9399 0.7044
Tm 0.5000 0.2956 0.0601
Tm 0.5000 0.7044 0.9399
Tm 0.5000 0.5000 0.5000
Th 0.0000 0.0000 0.0000
Sc 0.5000 0.7020 0.2980
Sc 0.5000 0.2980 0.7020

Summary:
Energy (eV/f.u.): -44.26
SG: Cmmm
V (Å³/cell): 359.04
Crystal system: orthorhombic
E_form (eV per formula unit): 7.12
Density of states at the Fermi level (states/eV per cell): 14.151


(4)
Below is CaCdPCl2 after structural relaxation, with properties calculated at the PBE level.

a b c (Å): 5.1517 5.1517 5.1893
angles (deg): 90.00 90.00 90.00
Each line ends with the local moment (μB).
Fractional coordinates of all 5 atoms:
P 0.0000 0.0000 0.5000  0.31
Ca 0.5000 0.5000 0.5000  0.01
Cl 0.0000 0.5000 0.0000  0.04
Cl 0.5000 0.0000 0.0000  0.04
Cd 0.0000 0.0000 0.0000  0.01

Summary:
Energy (eV/f.u.): -14.85
SG: P4/mmm
V (Å³/cell): 137.72
Crystal system: tetragonal
Energy above the most stable polymorph in this dataset (meV/atom): 18.3
Density of states at the Fermi level (states/eV per cell): 4.066
Energy relative to the elements, uncorrected (eV per atom): -0.57


(5)
Below is SiMo3Pb after structural relaxation, with properties calculated at the PBE level.

a b c (Å): 4.5662 4.5662 4.5662
angles (deg): 90.00 90.00 90.00
Fractional coordinates of all 5 atoms:
Pb 0.5000 0.5000 0.5000
Mo 0.0000 0.5000 0.0000
Mo 0.0000 0.0000 0.5000
Mo 0.5000 0.0000 0.0000
Si 0.0000 0.0000 0.0000

Summary:
Energy (eV/f.u.): -37.09
SG: Pm-3m
V (Å³/cell): 95.21
Crystal system: cubic
Energy above the most stable polymorph in this dataset (meV/atom): 0.0
Density of states at the Fermi level (states/eV per cell): 5.468
Energy relative to the elements, uncorrected (eV per atom): 0.91


(6)
Below is LiRe2Se after structural relaxation, with properties calculated at the PBE level.

a b c (Å): 5.2813 5.2813 5.2813
angles (deg): 139.48 139.48 58.65
Fractional coordinates of all 4 atoms:
Li 0.7500 0.2500 0.5000
Re 0.0000 0.0000 0.0000
Re 0.5000 0.5000 0.0000
Se 0.2500 0.7500 0.5000

Summary:
Energy (eV/f.u.): -28.14
SG: I4/mmm
V (Å³/cell): 61.61
Crystal system: tetragonal
Density of states at the Fermi level (states/eV per cell): 2.560
Energy relative to the elements, uncorrected (eV per atom): 0.54